No. 1
# ZrTePbO2 (PBE, optimized geometry)
# * DFT total energy: -6.3183 eV per atom
# * formation energy from raw total energies: -121.1 kJ/mol of atoms
# * theoretical density: 6.3 g/cm3
data_ZrTePbO2
_chemical_formula_sum 'Zr1 Te1 Pb1 O2'
_space_group_name_H-M_alt 'P 4/m m m'
_space_group_IT_number 123
_space_group_name_Hall '-P 4 2'
_cell_length_a 4.1801
_cell_length_b 4.1801
_cell_length_c 6.8999
_cell_angle_alpha 90.00
_cell_angle_beta 90.00
_cell_angle_gamma 90.00
loop_
_atom_site_label
_atom_site_fract_x
_atom_site_fract_y
_atom_site_fract_z
_atom_site_occupancy
Zr1 0.0000 0.0000 0.0000 1
Te1 0.5000 0.5000 0.5000 1
Pb1 0.0000 0.0000 0.5000 1
O1 0.0000 0.5000 0.0000 1

=====

No. 2
# Th3Zn2Au4 (PBE, optimized geometry)
# * DFT total energy: -4.8410 eV per atom
# * theoretical density: 13.3 g/cm3
data_Th3Zn2Au4
_chemical_formula_sum 'Th6 Zn4 Au8'
_space_group_name_H-M_alt 'C 1 2/m 1'
_space_group_IT_number 12
_cell_length_a 10.7770
_cell_length_b 4.7367
_cell_length_c 8.8829
_cell_angle_alpha 90.00
_cell_angle_beta 117.03
_cell_angle_gamma 90.00
loop_
_space_group_symop_operation_xyz
'x,y,z'
'-x,-y,-z'
'-x,y,-z'
'x,-y,z'
'x+1/2,y+1/2,z'
'-x+1/2,-y+1/2,-z'
'-x+1/2,y+1/2,-z'
'x+1/2,-y+1/2,z'
loop_
_atom_site_label
_atom_site_fract_x
_atom_site_fract_y
_atom_site_fract_z
_atom_site_occupancy
Th1 0.0000 0.0000 0.0000 1
Th2 0.1603 0.5000 0.6701 1
Zn1 0.1209 0.5000 0.2902 1
Au1 0.0686 0.0000 0.3922 1
Au2 0.2133 0.5000 0.0600 1

=====

No. 3
# Ca2NbPdBr (PBE, optimized geometry)
# * DFT total energy: -3.8052 eV per atom
# * formation energy from raw total energies: 36.9 kJ/mol of atoms
# * theoretical density: 4.1 g/cm3
data_Ca2NbPdBr
_chemical_formula_sum 'Ca2 Nb1 Pd1 Br1'
_space_group_name_H-M_alt 'P 4/m m m'
_space_group_IT_number 123
_space_group_name_Hall '-P 4 2'
_cell_length_a 5.4599
_cell_length_b 5.4599
_cell_length_c 4.8663
_cell_angle_alpha 90.00
_cell_angle_beta 90.00
_cell_angle_gamma 90.00
loop_
_atom_site_label
_atom_site_fract_x
_atom_site_fract_y
_atom_site_fract_z
_atom_site_occupancy
Ca1 0.0000 0.5000 0.0000 1
Nb1 0.0000 0.0000 0.5000 1
Pd1 0.5000 0.5000 0.5000 1
Br1 0.5000 0.5000 0.0000 1

=====

No. 4
# Dy4Al12Ga (PBE, optimized geometry)
# * DFT total energy: -4.2625 eV per atom
# * theoretical density: 5.2 g/cm3
data_Dy4Al12Ga
_chemical_formula_sum 'Dy8 Al24 Ga2'
_space_group_name_H-M_alt 'I m -3 m'
_space_group_IT_number 229
_space_group_name_Hall '-I 4 2 3'
_cell_length_a 8.7344
_cell_length_b 8.7344
_cell_length_c 8.7344
_cell_angle_alpha 90.00
_cell_angle_beta 90.00
_cell_angle_gamma 90.00
loop_
_atom_site_label
_atom_site_fract_x
_atom_site_fract_y
_atom_site_fract_z
_atom_site_occupancy
Dy1 0.2500 0.2500 0.2500 1
Al1 0.0000 0.0000 0.3069 1
Al2 0.0000 0.2500 0.5000 1
Ga1 0.0000 0.0000 0.0000 1

=====

No. 5
# SmThTeRh (PBE, optimized geometry)
# * DFT total energy: -6.7147 eV per atom
# * formation energy from raw total energies: -101.9 kJ/mol of atoms
# * theoretical density: 8.8 g/cm3
data_SmThTeRh
_chemical_formula_sum 'Sm3 Th3 Te3 Rh3'
_space_group_name_H-M_alt 'R 3 m'
_space_group_IT_number 160
_space_group_name_Hall 'R 3 -2"'
_cell_length_a 4.1615
_cell_length_b 4.1615
_cell_length_c 23.0512
_cell_angle_alpha 90.00
_cell_angle_beta 90.00
_cell_angle_gamma 120.00
loop_
_atom_site_label
_atom_site_fract_x
_atom_site_fract_y
_atom_site_fract_z
_atom_site_occupancy
Sm1 0.0000 0.0000 0.0000 1
Th1 0.0000 0.0000 0.8031 1
Te1 0.0000 0.0000 0.2365 1
Rh1 0.0000 0.0000 0.4064 1

=====

No. 6
# ScZnHg (PBE, optimized geometry)
# * DFT total energy: -2.9170 eV per atom
# * theoretical density: 8.7 g/cm3
data_ScZnHg
_chemical_formula_sum 'Sc4 Zn4 Hg4'
_space_group_name_H-M_alt 'C m c m'
_space_group_IT_number 63
_space_group_name_Hall '-C 2c 2'
_cell_length_a 4.8074
_cell_length_b 8.4444
_cell_length_c 5.8583
_cell_angle_alpha 90.00
_cell_angle_beta 90.00
_cell_angle_gamma 90.00
loop_
_atom_site_label
_atom_site_fract_x
_atom_site_fract_y
_atom_site_fract_z
_atom_site_occupancy
Sc1 0.0000 0.1691 0.2500 1
Zn1 0.0000 0.5000 0.0000 1
Hg1 0.0000 0.1626 0.7500 1

=====

No. 7
# PuGaNiRh (PBE, optimized geometry)
# * DFT total energy: -7.9649 eV per atom
# * theoretical density: 11.8 g/cm3
data_PuGaNiRh
_chemical_formula_sum 'Pu4 Ga4 Ni4 Rh4'
_space_group_name_H-M_alt 'F -4 3 m'
_space_group_IT_number 216
_space_group_name_Hall 'F -4 2 3'
_cell_length_a 6.4471
_cell_length_b 6.4471
_cell_length_c 6.4471
_cell_angle_alpha 90.00
_cell_angle_beta 90.00
_cell_angle_gamma 90.00
loop_
_atom_site_label
_atom_site_fract_x
_atom_site_fract_y
_atom_site_fract_z
_atom_site_occupancy
Pu1 0.0000 0.0000 0.0000 1
Ga1 0.0000 0.0000 0.5000 1
Ni1 0.2500 0.2500 0.2500 1
Rh1 0.2500 0.2500 0.7500 1

=====

No. 8
# CoNiIr2 (PBE, optimized geometry)
# * DFT total energy: -7.6150 eV per atom
# * E above lowest polymorph: 32 meV per atom
# * theoretical density: 16.3 g/cm3
data_CoNiIr2
_chemical_formula_sum 'Co1 Ni1 Ir2'
_space_group_name_H-M_alt 'P 4/m m m'
_space_group_IT_number 123
_space_group_name_Hall '-P 4 2'
_cell_length_a 2.6624
_cell_length_b 2.6624
_cell_length_c 7.1946
_cell_angle_alpha 90.00
_cell_angle_beta 90.00
_cell_angle_gamma 90.00
loop_
_atom_site_label
_atom_site_fract_x
_atom_site_fract_y
_atom_site_fract_z
_atom_site_occupancy
Co1 0.0000 0.0000 0.0000 1
Ni1 0.0000 0.0000 0.5000 1
Ir1 0.5000 0.5000 0.2474 1

=====

No. 9
# Eu3HgH (PBE, optimized geometry)
# * DFT total energy: -7.2319 eV per atom
# * theoretical density: 8.3 g/cm3
data_Eu3HgH
_chemical_formula_sum 'Eu3 Hg1 H1'
_space_group_name_H-M_alt 'P m -3 m'
_space_group_IT_number 221
_space_group_name_Hall '-P 4 2 3'
_cell_length_a 5.0859
_cell_length_b 5.0859
_cell_length_c 5.0859
_cell_angle_alpha 90.00
_cell_angle_beta 90.00
_cell_angle_gamma 90.00
loop_
_atom_site_label
_atom_site_fract_x
_atom_site_fract_y
_atom_site_fract_z
_atom_site_occupancy
Eu1 0.0000 0.0000 0.5000 1
Hg1 0.5000 0.5000 0.5000 1
H1 0.0000 0.0000 0.0000 1

=====

No. 10
# Sc2ReHg (PBE, optimized geometry)
# * DFT total energy: -6.2482 eV per atom
# * theoretical density: 9.9 g/cm3
data_Sc2ReHg
_chemical_formula_sum 'Sc2 Re1 Hg1'
_space_group_name_H-M_alt 'P 4 m m'
_space_group_IT_number 99
_cell_length_a 3.6596
_cell_length_b 3.6596
_cell_length_c 5.9465
_cell_angle_alpha 90.00
_cell_angle_beta 90.00
_cell_angle_gamma 90.00
loop_
_space_group_symop_operation_xyz
'x,y,z'
'-y,x,z'
'-x,-y,z'
'y,-x,z'
'-x,y,z'
'y,x,z'
'x,-y,z'
'-y,-x,z'
loop_
_atom_site_label
_atom_site_fract_x
_atom_site_fract_y
_atom_site_fract_z
_atom_site_occupancy
Sc1 0.0000 0.0000 0.0000 1
Sc2 0.5000 0.5000 0.3014 1
Re1 0.5000 0.5000 0.8312 1
Hg1 0.0000 0.0000 0.5295 1

=====

No. 11
# ScIr3Br (PBE, optimized geometry)
# * DFT total energy: -5.7469 eV per atom
# * formation energy from raw total energies: 112.9 kJ/mol of atoms
# * E above lowest polymorph: 0 meV per atom
# * theoretical density: 11.7 g/cm3
data_ScIr3Br
_chemical_formula_sum 'Sc1 Ir3 Br1'
_space_group_name_H-M_alt 'P m -3 m'
_space_group_IT_number 221
_space_group_name_Hall '-P 4 2 3'
_cell_length_a 4.6289
_cell_length_b 4.6289
_cell_length_c 4.6289
_cell_angle_alpha 90.00
_cell_angle_beta 90.00
_cell_angle_gamma 90.00
loop_
_atom_site_label
_atom_site_fract_x
_atom_site_fract_y
_atom_site_fract_z
_atom_site_occupancy
Sc1 0.0000 0.0000 0.0000 1
Ir1 0.0000 0.5000 0.5000 1
Br1 0.5000 0.5000 0.5000 1

=====

No. 12
# Ta2MnCu (PBE, optimized geometry)
# * DFT total energy: -9.1319 eV per atom
# * theoretical density: 13.2 g/cm3
data_Ta2MnCu
_chemical_formula_sum 'Ta4 Mn2 Cu2'
_space_group_name_H-M_alt 'I m m 2'
_space_group_IT_number 44
_cell_length_a 3.0850
_cell_length_b 4.3564
_cell_length_c 8.9670
_cell_angle_alpha 90.00
_cell_angle_beta 90.00
_cell_angle_gamma 90.00
loop_
_space_group_symop_operation_xyz
'x,y,z'
'-x,-y,z'
'-x,y,z'
'x,-y,z'
'x+1/2,y+1/2,z+1/2'
'-x+1/2,-y+1/2,z+1/2'
'-x+1/2,y+1/2,z+1/2'
'x+1/2,-y+1/2,z+1/2'
loop_
_atom_site_label
_atom_site_fract_x
_atom_site_fract_y
_atom_site_fract_z
_atom_site_occupancy
Ta1 0.0000 0.0000 0.0000 1
Ta2 0.0000 0.5000 0.2259 1
Mn1 0.0000 0.0000 0.5047 1
Cu1 0.0000 0.5000 0.7725 1

=====

no.,magnetic moment (μB/f.u.)
1,0.00
2,0.00
3,4.31
4,0.00
5,0.00
6,0.00
7,4.66
8,1.14
9,22.50
10,0.00
11,0.00
12,0.00